Entry 1:
CaIrOs2 | PBE | optimized geometry

## Properties
- ΔE to the lowest computed polymorph: 378 meV per atom
- Raw total energy: -30.93 eV/cell
- D(E_F): 4.33 states/eV/cell
- Crystal system: tetragonal
- ΔH_f (0 K): 597 meV per atom
- M_tot: 0.00 μB/f.u.

a b c (Å): 5.0643 5.0643 5.0643
angles (deg): 134.40 134.40 66.47
With the nearest neighbours (Å) after each atom.
Fractional coordinates of all 4 atoms:
Ca1 0.0000 0.0000 0.0000  4 Ir 2.78, 8 Os 2.89
Ir1 0.5000 0.5000 0.0000  4 Ca 2.78, 8 Os 2.89
Os1 0.2500 0.7500 0.5000  4 Os 2.78, 4 Ca 2.89, 4 Ir 2.89
Os2 0.7500 0.2500 0.5000  4 Os 2.78, 4 Ca 2.89, 4 Ir 2.89



Entry 2:
Cu2HgAsC | PBE | optimized geometry

## Properties
- ΔE to the lowest computed polymorph: 0 meV per atom
- Raw total energy: -18.27 eV/cell
- D(E_F): 3.52 states/eV/cell
- Crystal system: tetragonal
- ΔH_f (0 K): 819 meV per atom
- M_tot: 0.00 μB/f.u.

a b c (Å): 3.9066 3.9066 5.2205
angles (deg): 90.00 90.00 90.00
With the nearest neighbours (Å) after each atom.
Fractional coordinates of all 5 atoms:
Cu1 0.0000 0.5000 0.0000  2 C 1.95
Cu2 0.5000 0.0000 0.0000  2 C 1.95
Hg1 0.0000 0.0000 0.5000  2 C 2.61, 4 As 2.76
As1 0.5000 0.5000 0.5000  4 Hg 2.76
C1 0.0000 0.0000 0.0000  4 Cu 1.95



Entry 3:
Co2ReRu | PBE | optimized geometry

## Properties
- ΔE to the lowest computed polymorph: 245 meV per atom
- Raw total energy: -34.74 eV/cell
- D(E_F): 3.41 states/eV/cell
- Crystal system: cubic
- ΔH_f (0 K): 298 meV per atom
- M_tot: 0.73 μB/f.u.

a b c (Å): 4.1818 4.1818 4.1818
angles (deg): 60.00 60.00 60.00
With the nearest neighbours (Å) after each atom.
Fractional coordinates of all 4 atoms:
Co1 0.0000 0.0000 0.0000  4 Co 2.56, 4 Re 2.56
Co2 0.2500 0.2500 0.2500  4 Ru 2.56, 4 Co 2.56
Re1 0.7500 0.7500 0.7500  4 Ru 2.56, 4 Co 2.56
Ru1 0.5000 0.5000 0.5000  4 Re 2.56, 4 Co 2.56



Entry 4:
Sb2PtPb2 | PBE | optimized geometry

## Properties
- Raw total energy: -44.08 eV/cell
- D(E_F): 5.39 states/eV/cell
- Crystal system: tetragonal
- M_tot: 0.00 μB/f.u.

a b c (Å): 6.7941 6.7941 6.4243
angles (deg): 90.00 90.00 90.00
With the nearest neighbours (Å) after each atom.
Fractional coordinates of all 10 atoms:
Sb1 0.1469 0.3531 0.0000  2 Pt 2.60, 1 Sb 2.82
Sb2 0.3531 0.8531 0.0000  2 Pt 2.60, 1 Sb 2.82
Sb3 0.6469 0.1469 0.0000  2 Pt 2.60, 1 Sb 2.82
Sb4 0.8531 0.6469 0.0000  2 Pt 2.60, 1 Sb 2.82
Pt1 0.0000 0.0000 0.0000  4 Sb 2.60
Pt2 0.5000 0.5000 0.0000  4 Sb 2.60
Pb1 0.1834 0.3166 0.5000  2 Sb 3.23, 5 Pb 3.52
Pb2 0.3166 0.8166 0.5000  2 Sb 3.23, 5 Pb 3.52
Pb3 0.6834 0.1834 0.5000  2 Sb 3.23, 5 Pb 3.52
Pb4 0.8166 0.6834 0.5000  2 Sb 3.23, 5 Pb 3.52



Entry 5:
Pm2Nd7Dy | PBE | optimized geometry

## Properties
- Raw total energy: -41.24 eV/cell
- D(E_F): 15.93 states/eV/cell
- Crystal system: orthorhombic
- ΔH_f (0 K): 624 meV per atom
- M_tot: 0.00 μB/f.u.

a b c (Å): 9.5952 9.5952 5.5059
angles (deg): 90.00 90.00 125.47
With the nearest neighbours (Å) after each atom.
Fractional coordinates of all 10 atoms:
Pm1 0.2050 0.7950 0.0000  4 Nd 3.09-3.24
Pm2 0.7950 0.2050 0.0000  4 Nd 3.09-3.24
Nd1 0.0000 0.0000 0.0000  4 Nd 3.38, 2 Pm 3.50
Nd2 0.2093 0.4295 0.0000  2 Nd 3.18-3.38, 2 Pm 3.24-3.53
Nd3 0.2874 0.7126 0.5000  2 Pm 3.09
Nd4 0.4295 0.2093 0.0000  2 Nd 3.18-3.38, 2 Pm 3.24-3.53
Nd5 0.5705 0.7907 0.0000  2 Nd 3.18-3.38, 2 Pm 3.24-3.53
Nd6 0.7126 0.2874 0.5000  2 Pm 3.09
Nd7 0.7907 0.5705 0.0000  2 Nd 3.18-3.38, 2 Pm 3.24-3.53
Dy1 0.5000 0.5000 0.5000  10 Nd 3.63-3.69



Entry 6:
Si2TcAu | PBE | optimized geometry

## Properties
- ΔE to the lowest computed polymorph: 111 meV per atom
- Raw total energy: -24.70 eV/cell
- D(E_F): 2.67 states/eV/cell
- Crystal system: orthorhombic
- M_tot: 0.00 μB/f.u.

a b c (Å): 3.0561 4.5116 4.3053
angles (deg): 90.00 90.00 90.00
With the nearest neighbours (Å) after each atom.
Fractional coordinates of all 4 atoms:
Si1 0.0000 0.0000 0.0000  2 Tc 2.51, 4 Au 2.61-2.67
Si2 0.5000 0.5000 0.2066  4 Tc 2.51-2.78, 2 Au 2.57
Tc1 0.0000 0.5000 0.7453  6 Si 2.51-2.78
Au1 0.5000 0.0000 0.4922  6 Si 2.57-2.67



Entry 7:
Cu2Pd8W | PBE | optimized geometry

## Properties
- ΔE to the lowest computed polymorph: 248 meV per atom
- Raw total energy: -59.78 eV/cell
- D(E_F): 5.73 states/eV/cell
- Crystal system: monoclinic
- ΔH_f (0 K): 265 meV per atom
- M_tot: 0.00 μB/f.u.

a b c (Å): 6.5407 6.5407 4.6474
angles (deg): 101.65 101.65 83.74
With the nearest neighbours (Å) after each atom.
Fractional coordinates of all 11 atoms:
Cu1 0.1396 0.1396 0.0407  1 W 2.51, 5 Pd 2.57-2.60, 1 Cu 2.64
Cu2 0.8604 0.8604 0.9593  1 W 2.51, 5 Pd 2.57-2.60, 1 Cu 2.64
Pd1 0.1619 0.6753 0.7040  1 W 2.54, 1 Cu 2.57, 4 Pd 2.66-2.78
Pd2 0.2650 0.2650 0.6121  1 W 2.49, 2 Cu 2.60, 4 Pd 2.66-2.74
Pd3 0.3247 0.8381 0.2960  1 W 2.54, 1 Cu 2.57, 4 Pd 2.66-2.78
Pd4 0.4173 0.4173 0.2009  1 Cu 2.60, 6 Pd 2.72-2.81
Pd5 0.5827 0.5827 0.7991  1 Cu 2.60, 6 Pd 2.72-2.81
Pd6 0.6753 0.1619 0.7040  1 W 2.54, 1 Cu 2.57, 4 Pd 2.66-2.78
Pd7 0.7350 0.7350 0.3879  1 W 2.49, 2 Cu 2.60, 4 Pd 2.66-2.74
Pd8 0.8381 0.3247 0.2960  1 W 2.54, 1 Cu 2.57, 4 Pd 2.66-2.78
W1 0.0000 0.0000 0.5000  6 Pd 2.49-2.54, 2 Cu 2.51



Entry 8:
Os2PdI | PBE | optimized geometry

## Properties
- ΔE to the lowest computed polymorph: 131 meV per atom
- Raw total energy: -24.14 eV/cell
- D(E_F): 5.28 states/eV/cell
- Crystal system: cubic
- M_tot: 0.00 μB/f.u.

a b c (Å): 4.5288 4.5288 4.5288
angles (deg): 60.00 60.00 60.00
With the nearest neighbours (Å) after each atom.
Fractional coordinates of all 4 atoms:
Os1 0.2500 0.2500 0.2500  4 I 2.77, 4 Pd 2.77
Os2 0.7500 0.7500 0.7500  4 I 2.77, 4 Pd 2.77
Pd1 0.0000 0.0000 0.0000  8 Os 2.77
I1 0.5000 0.5000 0.5000  8 Os 2.77



Entry 9:
Al2CrRu | PBE | optimized geometry

## Properties
- Raw total energy: -26.78 eV/cell
- D(E_F): 3.07 states/eV/cell
- Crystal system: trigonal
- ΔH_f (0 K): -99 meV per atom
- M_tot: 0.00 μB/f.u.

a b c (Å): 8.6341 8.6341 8.6341
angles (deg): 18.49 18.49 18.49
With the nearest neighbours (Å) after each atom.
Fractional coordinates of all 4 atoms:
Al1 0.0000 0.0000 0.0000  3 Ru 2.66, 9 Al 2.77-2.83
Al2 0.2416 0.2416 0.2416  3 Cr 2.63, 9 Al 2.77-2.83
Cr1 0.4929 0.4929 0.4929  3 Ru 2.51, 3 Al 2.63, 6 Cr 2.77
Ru1 0.7502 0.7502 0.7502  3 Cr 2.51, 3 Al 2.66, 6 Ru 2.77



Entry 10:
AcLaPu | PBE | optimized geometry

## Properties
- ΔE to the lowest computed polymorph: 24 meV per atom
- Raw total energy: -22.83 eV/cell
- D(E_F): 8.60 states/eV/cell
- Crystal system: trigonal
- ΔH_f (0 K): 181 meV per atom
- M_tot: 6.43 μB/f.u.

a b c (Å): 3.7543 3.7543 8.9698
angles (deg): 90.00 90.00 120.00
With the nearest neighbours (Å) after each atom.
Fractional coordinates of all 3 atoms:
Ac1 0.0000 0.0000 0.0000  3 Pu 3.66, 6 Ac 3.75, 3 La 3.88
La1 0.6667 0.3333 0.3582  3 Pu 3.54, 6 La 3.75, 3 Ac 3.88
Pu1 0.3333 0.6667 0.6706  3 La 3.54, 3 Ac 3.66, 6 Pu 3.75



Entry 11:
TbSmC | PBE | optimized geometry

## Properties
- ΔE to the lowest computed polymorph: 1 meV per atom
- Raw total energy: -38.37 eV/cell
- D(E_F): 4.44 states/eV/cell
- Crystal system: hexagonal
- ΔH_f (0 K): -204 meV per atom
- M_tot: 0.00 μB/f.u.

a b c (Å): 3.6200 3.6200 12.7482
angles (deg): 90.00 90.00 120.00
With the nearest neighbours (Å) after each atom.
Fractional coordinates of all 6 atoms:
Tb1 0.0000 0.0000 0.0000  3 C 2.47
Tb2 0.0000 0.0000 0.5000  3 C 2.47
Sm1 0.3333 0.6667 0.2161  3 C 2.54
Sm2 0.6667 0.3333 0.7161  3 C 2.54
C1 0.3333 0.6667 0.6032  3 Tb 2.47, 3 Sm 2.54
C2 0.6667 0.3333 0.1032  3 Tb 2.47, 3 Sm 2.54



Entry 12:
MgTl2GaF6 | PBE | optimized geometry

## Properties
- Raw total energy: -88.14 eV/cell
- D(E_F): 4.36 states/eV/cell
- Crystal system: orthorhombic
- M_tot: 1.03 μB/f.u.

a b c (Å): 6.0089 8.5025 6.0117
angles (deg): 90.00 90.00 90.00
With the nearest neighbours (Å) after each atom.
Fractional coordinates of all 20 atoms:
Mg1 0.2500 0.2500 0.2493  6 F 2.05
Mg2 0.7500 0.7500 0.7507  6 F 2.05
Tl1 0.2500 0.0001 0.7493  12 F 3.00-3.01
Tl2 0.2500 0.4999 0.7493  12 F 3.00-3.01
Tl3 0.7500 0.9999 0.2507  12 F 3.00-3.01
Tl4 0.7500 0.5001 0.2507  12 F 3.00-3.01
Ga1 0.2500 0.7500 0.2497  6 F 2.19-2.20
Ga2 0.7500 0.2500 0.7503  6 F 2.19-2.20
F1 0.0081 0.2500 0.0081  1 Mg 2.05, 1 Ga 2.19
F2 0.0088 0.2500 0.4908  1 Mg 2.05, 1 Ga 2.20
F3 0.2500 0.0087 0.2488  1 Mg 2.05, 1 Ga 2.20
F4 0.2500 0.4913 0.2488  1 Mg 2.05, 1 Ga 2.20
F5 0.4912 0.2500 0.4908  1 Mg 2.05, 1 Ga 2.20
F6 0.4919 0.2500 0.0081  1 Mg 2.05, 1 Ga 2.19
F7 0.5081 0.7500 0.9919  1 Mg 2.05, 1 Ga 2.19
F8 0.5088 0.7500 0.5092  1 Mg 2.05, 1 Ga 2.20
F9 0.7500 0.5087 0.7512  1 Mg 2.05, 1 Ga 2.20
F10 0.7500 0.9913 0.7512  1 Mg 2.05, 1 Ga 2.20
F11 0.9912 0.7500 0.5092  1 Mg 2.05, 1 Ga 2.20
F12 0.9919 0.7500 0.9919  1 Mg 2.05, 1 Ga 2.19



Entry 13:
TcTe4W | PBE | optimized geometry

## Properties
- ΔE to the lowest computed polymorph: 2029 meV per atom
- Raw total energy: -24.59 eV/cell
- D(E_F): 8.41 states/eV/cell
- Crystal system: cubic
- M_tot: 7.21 μB/f.u.

a b c (Å): 6.1280 6.1280 6.1280
angles (deg): 60.00 60.00 60.00
With the nearest neighbours (Å) after each atom.
Fractional coordinates of all 6 atoms:
Tc1 0.0000 0.0000 0.0000  12 Te 3.59, 4 W 3.75
Te1 0.1251 0.6250 0.6250  6 Te 3.06-3.07
Te2 0.6250 0.1251 0.6250  6 Te 3.06-3.07
Te3 0.6250 0.6250 0.1251  6 Te 3.06-3.07
Te4 0.6250 0.6250 0.6250  6 Te 3.06-3.07
W1 0.2500 0.2500 0.2500  12 Te 3.59, 4 Tc 3.75